# Cs5Hg12Sb3

Crystalline Cs5Hg12Sb3 at its relaxed geometry (GGA-PBE, Alexandria).

Structure (CIF):
```
data_Cs5Hg12Sb3
_chemical_formula_sum 'Cs40 Hg96 Sb24'
_cell_length_a 19.986
_cell_length_b 19.986
_cell_length_c 19.986
_cell_angle_alpha 90.00
_cell_angle_beta 90.00
_cell_angle_gamma 90.00
_symmetry_space_group_name_H-M 'I a -3 d'
_symmetry_Int_Tables_number 230
_symmetry_space_group_name_Hall '-I 4bd 2c 3'
loop_
_atom_site_label
_atom_site_type_symbol
_atom_site_fract_x
_atom_site_fract_y
_atom_site_fract_z
Cs1 Cs 0.000 0.000 0.000
Cs2 Cs 0.000 0.250 0.375
Hg1 Hg 0.004 0.099 0.650
Sb1 Sb 0.000 0.250 0.125
```

Output
**Total DFT energy (no corrections)**: -20.8 eV/f.u.
**Calculated volume**: 49.896 A^3/atom
**Total magnetic moment**: 0.00 μB/atom
**Uncorrected formation energy**: -0.029 eV per atom